Record 1
The following is a GGA-PBE calculation of SrMg2Sn2Au2 after structural relaxation, from Alexandria.

The calculation puts the formation energy at -50 kJ per mole of atoms. As for the uncorrected energy: -3.297 eV/atom.

The space group is R-3m (No. 166, hexagonal axes) and the conventional cell measures 4.6922, 4.6922 and 26.7657 Å, with angles of 90.00, 90.00 and 120.00 degrees. The inequivalent atoms are Sr at (0.0000, 0.0000, 0.0000), Mg at (0.0000, 0.0000, 0.1380), Sn at (0.0000, 0.0000, 0.2548) and Au at (0.0000, 0.0000, 0.4398).

=====

Record 2
The following is a GGA-PBE calculation of Ac6As2PS3 after structural relaxation, from Alexandria.

As for the uncorrected energy: -6.097 eV/atom. Its uncorrected formation energy is -1.785 eV per atom.

The space group is C2/m (No. 12) and the conventional cell measures 19.229, 4.431 and 8.803 Å, with angles of 90.00, 102.81 and 90.00 degrees. The inequivalent atoms are Ac at (0.001, 0.000, 0.256), Ac at (0.165, 0.500, 0.580), Ac at (0.166, 0.500, 0.084), As at (0.167, 0.000, 0.833), P at (0.000, 0.500, 0.500), S at (0.000, 0.500, 0.000) and S at (0.167, 0.000, 0.333).

=====

Repeat the second record exactly.
The following is a GGA-PBE calculation of Ac6As2PS3 after structural relaxation, from Alexandria.

As for the uncorrected energy: -6.097 eV/atom. Its uncorrected formation energy is -1.785 eV per atom.

The space group is C2/m (No. 12) and the conventional cell measures 19.229, 4.431 and 8.803 Å, with angles of 90.00, 102.81 and 90.00 degrees. The inequivalent atoms are Ac at (0.001, 0.000, 0.256), Ac at (0.165, 0.500, 0.580), Ac at (0.166, 0.500, 0.084), As at (0.167, 0.000, 0.833), P at (0.000, 0.500, 0.500), S at (0.000, 0.500, 0.000) and S at (0.167, 0.000, 0.333).